# 1
VASP calculation (GGA-PBE) on crystalline Ba2NdCdTe5 at its relaxed geometry.

Calculated values
The density of states at the Fermi level is 0.67 states/eV/atom. The energy relative to the elements, uncorrected is -1.25 eV/atom.

CIF file:
```
data_Ba2NdCdTe5
_symmetry_space_group_name_H-M 'C m c 21'
_symmetry_Int_Tables_number 36
_symmetry_space_group_name_Hall 'C 2c -2'
_cell_length_a 4.658
_cell_length_b 20.499
_cell_length_c 14.153
_cell_angle_alpha 90.00
_cell_angle_beta 90.00
_cell_angle_gamma 90.00
loop_
_atom_site_label
_atom_site_fract_x
_atom_site_fract_y
_atom_site_fract_z
Ba1 0.000 0.116 0.000
Ba2 0.000 0.126 0.632
Nd1 0.000 0.206 0.328
Cd1 0.000 0.442 0.753
Te1 0.000 0.049 0.369
Te2 0.000 0.293 0.980
Te3 0.000 0.307 0.673
Te4 0.000 0.358 0.319
Te5 0.000 0.496 0.077
```


# 2
VASP calculation (GGA-PBE) on crystalline KSc2H7 at its relaxed geometry.

Calculated values
The calculation puts the energy at -40.918 eV per formula unit. The density of states at the Fermi level is 0.00 states/eV/atom.

CIF file:
```
data_KSc2H7
_symmetry_space_group_name_H-M 'C m m m'
_symmetry_Int_Tables_number 65
_symmetry_space_group_name_Hall '-C 2 2'
_cell_length_a 6.162
_cell_length_b 10.293
_cell_length_c 3.916
_cell_angle_alpha 90.00
_cell_angle_beta 90.00
_cell_angle_gamma 90.00
loop_
_atom_site_label
_atom_site_fract_x
_atom_site_fract_y
_atom_site_fract_z
K1 0.000 0.000 0.000
Sc1 0.000 0.308 0.500
H1 0.000 0.285 0.000
H2 0.000 0.500 0.500
H3 0.184 0.150 0.500
```


# 3
VASP calculation (GGA-PBE) on crystalline ZrNiSN2 at its relaxed geometry.

Calculated values
For the excess energy over the best structure of this formula in the dataset, the calculation gives 37.8 kJ per mole of atoms. The density of states at the Fermi level is 1.10 states/eV/atom. The energy relative to the elements, uncorrected is 0.74 eV/atom.

CIF file:
```
data_ZrNiSN2
_symmetry_space_group_name_H-M 'P 4/m m m'
_symmetry_Int_Tables_number 123
_symmetry_space_group_name_Hall '-P 4 2'
_cell_length_a 4.107
_cell_length_b 4.107
_cell_length_c 5.262
_cell_angle_alpha 90.00
_cell_angle_beta 90.00
_cell_angle_gamma 90.00
loop_
_atom_site_label
_atom_site_fract_x
_atom_site_fract_y
_atom_site_fract_z
Zr1 0.000 0.000 0.000
Ni1 0.500 0.500 0.500
S1 0.000 0.000 0.500
N1 0.000 0.500 0.000
```